Below is an optimized crystal structure of SrCrMo2, with properties calculated at the PBEsol level.

Results
Offset from the most stable computed form (eV per atom): 0.0080
Mass density (g/cm3): 7.48
Total DFT energy (no corrections) (eV per atom): -7.6496
Energy of formation (eV per atom): 1.25

a b c (Å): 3.876 3.876 5.612
angles (deg): 110.20 110.20 90.00
Element x y z (fractional)
Sr1 0.500 0.500 0.000
Cr1 0.000 0.000 0.000
Mo1 0.750 0.250 0.500
Mo2 0.250 0.750 0.500

Below is an optimized crystal structure of Zn2SbAu2, with properties calculated at the PBEsol level.

Results
Offset from the most stable computed form (eV per atom): 0.0080
Mass density (g/cm3): 11.78
E_form (uncorrected) (meV/atom): -104
Total DFT energy (no corrections) (eV per atom): -3.2182

a b c (Å): 3.771 3.771 6.940
angles (deg): 105.77 105.77 90.00
Element x y z (fractional)
Zn1 0.250 0.750 0.500
Au1 0.609 0.609 0.217
Sb1 0.000 0.000 0.000
Au2 0.391 0.391 0.783
Zn2 0.750 0.250 0.500

Below is an optimized crystal structure of Ca2TaTl, with properties calculated at the PBEsol level.

Results
Offset from the most stable computed form (eV per atom): 0.1469
Mass density (g/cm3): 7.88
Total DFT energy (no corrections) (eV per atom): -4.2982
Energy of formation (eV per atom): 0.56

a b c (Å): 5.176 5.176 5.176
angles (deg): 60.00 60.00 60.00
Element x y z (fractional)
Tl1 0.250 0.250 0.250
Ta1 0.500 0.500 0.500
Ca1 0.750 0.750 0.750
Ca2 0.000 0.000 0.000

Below is an optimized crystal structure of BeZnSn2, with properties calculated at the PBEsol level.

Results
Mass density (g/cm3): 6.73
Total DFT energy (no corrections) (eV per atom): -3.1158
Energy of formation (eV per atom): 0.41

a b c (Å): 4.773 4.773 4.773
angles (deg): 60.00 60.00 60.00
Element x y z (fractional)
Be1 0.000 0.000 0.000
Sn1 0.750 0.750 0.750
Sn2 0.250 0.250 0.250
Zn1 0.500 0.500 0.500

Below is an optimized crystal structure of Zn2IrRh, with properties calculated at the PBEsol level.

Results
Mass density (g/cm3): 13.09
Total DFT energy (no corrections) (eV per atom): -5.5297
Energy of formation (eV per atom): -0.25

a b c (Å): 2.761 4.467 4.979
angles (deg): 112.69 106.10 90.00
Element x y z (fractional)
Zn1 0.758 0.333 0.516
Rh1 0.243 0.829 0.486
Ir1 0.507 0.421 0.014
Zn2 0.992 0.916 0.985

Below is an optimized crystal structure of CoSnO3, with properties calculated at the PBEsol level.

Results
Mass density (g/cm3): 6.68
E_form (uncorrected) (meV/atom): -1164
Total DFT energy (no corrections) (eV per atom): -6.7130

a b c (Å): 5.252 5.252 5.588
angles (deg): 61.97 61.97 60.00
Element x y z (fractional)
O1 0.749 0.449 0.749
Sn1 0.146 0.146 0.561
Sn2 0.854 0.854 0.439
O2 0.948 0.251 0.251
Co1 0.646 0.646 0.063
O3 0.551 0.948 0.251
O4 0.449 0.052 0.749
O5 0.251 0.551 0.251
Co2 0.354 0.354 0.937
O6 0.052 0.749 0.749

Below is an optimized crystal structure of KAu, with properties calculated at the PBEsol level.

Results
Mass density (g/cm3): 6.76
Total DFT energy (no corrections) (eV per atom): -2.6445
Energy of formation (eV per atom): -0.12

a b c (Å): 5.708 10.596 11.508
angles (deg): 90.00 90.00 90.00
Element x y z (fractional)
Au1 0.500 0.250 0.059
Au2 0.750 0.476 0.456
Au3 0.250 0.524 0.544
K1 0.750 0.022 0.888
K2 0.750 0.522 0.112
K3 0.250 0.889 0.709
Au4 0.750 0.825 0.142
Au5 0.750 0.325 0.858
K4 0.500 0.250 0.613
Au6 0.750 0.976 0.544
Au7 0.000 0.250 0.059
K5 0.250 0.389 0.291
K6 0.750 0.611 0.709
Au8 0.000 0.750 0.941
Au9 0.250 0.675 0.142
K7 0.500 0.750 0.387
Au10 0.250 0.024 0.456
K8 0.250 0.478 0.888
K9 0.750 0.111 0.291
Au11 0.500 0.750 0.941
K10 0.000 0.250 0.613
K11 0.250 0.978 0.112
Au12 0.250 0.175 0.858
K12 0.000 0.750 0.387

Below is an optimized crystal structure of LiHgCl, with properties calculated at the PBEsol level.

Results
Offset from the most stable computed form (eV per atom): 0.0000
Mass density (g/cm3): 5.40
E_form (uncorrected) (meV/atom): -1039
Total DFT energy (no corrections) (eV per atom): -2.5527

a b c (Å): 3.379 3.379 6.970
angles (deg): 104.03 104.03 90.00
Element x y z (fractional)
Li1 0.427 0.427 0.854
Cl1 0.917 0.917 0.835
Hg1 0.655 0.655 0.311